1.
Nb2TlSb2: relaxed, PBE.

Lattice parameters (Å, degrees): 7.759 7.759 3.667 90.00 90.00 90.00
Positions (direct):
Nb1 0.140 0.360 0.000
Nb2 0.360 0.860 0.000
Nb3 0.640 0.140 0.000
Nb4 0.860 0.640 0.000
Tl1 0.000 0.000 0.000
Tl2 0.500 0.500 0.000
Sb1 0.151 0.651 0.500
Sb2 0.349 0.151 0.500
Sb3 0.651 0.849 0.500
Sb4 0.849 0.349 0.500

E_form (uncorrected): -26.0 meV/atom
space-group type: P4/mbm
mass density: 9.5 Mg/m³
total energy: -6.1761 eV/atom



2.
NbAlSbTe2: relaxed, PBE.

Lattice parameters (Å, degrees): 5.438 5.438 5.437 90.00 90.00 90.00
Positions (direct):
Nb1 0.000 0.000 0.000
Al1 0.500 0.500 0.500
Sb1 0.000 0.000 0.500
Te1 0.000 0.500 0.000
Te2 0.500 0.000 0.000

E_form (uncorrected): 340.0 meV/atom
space-group type: P4/mmm
relative energy among the computed polymorphs: 0 meV/atom
mass density: 5.1 Mg/m³
total energy: -4.5036 eV/atom



3.
AlGaBi: relaxed, PBE.

Lattice parameters (Å, degrees): 3.264 6.444 7.055 90.80 102.98 90.25
Positions (direct):
Al1 0.000 0.000 0.000
Al2 0.428 0.678 0.857
Ga1 0.069 0.534 0.145
Ga2 0.627 0.209 0.259
Bi1 0.251 0.841 0.459
Bi2 0.826 0.311 0.691

ΔE_f: 0.36 eV/f.u.
space-group type: P1
relative energy among the computed polymorphs: 23 meV/atom
mass density: 7.0 Mg/m³
total energy: -3.4286 eV/atom



4.
TlSn2GeCl: relaxed, PBE.

Lattice parameters (Å, degrees): 5.396 5.396 5.649 90.00 90.00 90.00
Positions (direct):
Tl1 0.000 0.000 0.000
Sn1 0.000 0.500 0.500
Sn2 0.500 0.000 0.500
Ge1 0.500 0.500 0.000
Cl1 0.000 0.000 0.500

E_form (uncorrected): 412.0 meV/atom
space-group type: P4/mmm
relative energy among the computed polymorphs: 272 meV/atom
mass density: 5.6 Mg/m³
total energy: -2.9552 eV/atom



5.
CdCoRh2: relaxed, PBE.

Lattice parameters (Å, degrees): 2.831 4.674 9.127 90.00 90.00 90.00
Positions (direct):
Cd1 0.000 0.000 0.000
Cd2 0.500 0.500 0.000
Co1 0.000 0.500 0.741
Co2 0.500 0.000 0.741
Rh1 0.000 0.000 0.516
Rh2 0.000 0.500 0.265
Rh3 0.500 0.000 0.265
Rh4 0.500 0.500 0.516

ΔE_f: 1.18 eV/f.u.
space-group type: Cmm2
relative energy among the computed polymorphs: 267 meV/atom
mass density: 10.4 Mg/m³
total energy: -5.3857 eV/atom



6.
TiV2I6: relaxed, PBE.

Lattice parameters (Å, degrees): 8.479 8.479 10.248 108.84 108.84 27.88
Positions (direct):
Ti1 0.000 0.000 0.000
V1 0.332 0.332 0.666
V2 0.668 0.668 0.334
I1 0.042 0.042 0.297
I2 0.294 0.294 0.374
I3 0.369 0.369 0.960
I4 0.631 0.631 0.040
I5 0.706 0.706 0.626
I6 0.958 0.958 0.703

E_form (uncorrected): -507.4 meV/atom
space-group type: C2/m
mass density: 4.7 Mg/m³
total energy: -4.4443 eV/atom



7.
LiLaHgSb: relaxed, PBE.

Lattice parameters (Å, degrees): 7.511 7.511 7.511 90.00 90.00 90.00
Positions (direct):
Li1 0.000 0.000 0.000
Li2 0.000 0.500 0.500
Li3 0.500 0.000 0.500
Li4 0.500 0.500 0.000
La1 0.000 0.000 0.500
La2 0.000 0.500 0.000
La3 0.500 0.000 0.000
La4 0.500 0.500 0.500
Hg1 0.250 0.250 0.750
Hg2 0.250 0.750 0.250
Hg3 0.750 0.250 0.250
Hg4 0.750 0.750 0.750
Sb1 0.250 0.250 0.250
Sb2 0.250 0.750 0.750
Sb3 0.750 0.250 0.750
Sb4 0.750 0.750 0.250

E_form (uncorrected): -641.4 meV/atom
space-group type: F-43m
mass density: 7.3 Mg/m³
total energy: -3.4578 eV/atom